[1]
An optimized crystal structure of Pm5DyY5. Source: Alexandria via LeMat-Bulk, functional GGA-PBE.

Cell and atoms, written as extended XYZ:
```
11
Lattice="6.162 0.000 0.000 -3.081 5.337 0.000 0.000 0.000 11.495" Properties=species:S:1:pos:R:3 pbc="T T T"
Pm 0.000 0.000 2.718
Pm 0.000 0.000 8.777
Pm 1.574 0.909 0.000
Pm 4.588 0.909 0.000
Pm 3.081 3.519 0.000
Dy 0.000 3.558 5.748
Y 0.000 0.000 5.748
Y 0.000 3.558 2.084
Y 0.000 3.558 9.412
Y 3.081 1.779 3.911
Y 3.081 1.779 7.584
```

* energy relative to the elements: 314 meV per atom
* polymorph energy (0 for the lowest one): 50 meV per atom

***

[2]
An optimized crystal structure of CsTl6Sb4. Source: Alexandria via LeMat-Bulk, functional GGA-PBE.

Cell and atoms, written as extended XYZ:
```
11
Lattice="9.135 0.000 0.000 -4.567 7.911 0.000 0.000 0.000 5.330" Properties=species:S:1:pos:R:3 pbc="T T T"
Cs 0.000 0.000 0.000
Tl -1.829 4.218 0.000
Tl 2.762 1.595 2.665
Tl 1.829 4.218 0.000
Tl 0.000 7.386 0.000
Tl 6.373 1.595 2.665
Tl 4.567 4.721 2.665
Sb 0.000 3.393 2.665
Sb -1.629 6.214 2.665
Sb 1.629 6.214 2.665
Sb 4.567 2.637 0.000
```

* raw formation energy: -0.050 eV per atom

***

[3]
An optimized crystal structure of KLiTeBr6. Source: Alexandria via LeMat-Bulk, functional GGA-PBE.

Cell and atoms, written as extended XYZ:
```
9
Lattice="7.135 0.000 0.000 -3.567 6.179 0.000 0.000 0.000 7.332" Properties=species:S:1:pos:R:3 pbc="T T T"
K 0.000 0.000 0.000
Li 0.000 4.119 3.666
Te 3.567 2.060 3.666
Br 2.644 0.012 5.244
Br 1.333 2.284 2.087
Br 4.490 0.012 2.087
Br 2.256 3.883 5.244
Br 5.802 2.284 5.244
Br 4.879 3.883 2.087
```

* raw formation energy: -0.934 eV per atom

***

[4]
An optimized crystal structure of PmTm2Lu. Source: Alexandria via LeMat-Bulk, functional GGA-PBE.

Cell and atoms, written as extended XYZ:
```
4
Lattice="4.974 0.000 0.000 0.000 4.974 0.000 0.000 0.000 4.992" Properties=species:S:1:pos:R:3 pbc="T T T"
Pm 0.000 0.000 0.000
Tm 0.000 2.487 2.496
Tm 2.487 0.000 2.496
Lu 2.487 2.487 0.000
```

* energy relative to the elements: 29 meV per atom
* polymorph energy (0 for the lowest one): 0 meV per atom

***

[5]
An optimized crystal structure of Ba3Tl2Hg5Bi2. Source: Alexandria via LeMat-Bulk, functional GGA-PBE.

Cell and atoms, written as extended XYZ:
```
12
Lattice="-2.531 2.531 18.450 2.531 -2.531 18.450 2.531 2.531 -18.450" Properties=species:S:1:pos:R:3 pbc="T T T"
Ba 0.000 0.000 0.000
Ba 0.000 0.000 7.395
Ba 0.000 0.000 29.505
Tl 0.000 0.000 13.934
Tl 0.000 0.000 22.966
Hg 2.531 0.000 2.511
Hg 2.531 0.000 15.939
Hg 0.000 0.000 18.450
Hg 0.000 2.531 2.511
Hg 0.000 2.531 15.939
Bi 0.000 0.000 10.960
Bi 0.000 0.000 25.940
```

* energy relative to the elements: -344 meV per atom

***

[6]
An optimized crystal structure of Nd6CuTc2. Source: Alexandria via LeMat-Bulk, functional GGA-PBE.

Cell and atoms, written as extended XYZ:
```
18
Lattice="-4.912 4.971 5.167 4.912 -4.971 5.167 4.912 4.971 -5.167" Properties=species:S:1:pos:R:3 pbc="T T T"
Nd 4.912 -2.883 3.263
Nd 2.931 0.000 2.285
Nd 6.894 0.000 2.285
Nd 3.063 2.833 0.000
Nd 6.762 2.833 0.000
Nd 0.000 2.088 1.904
Nd 4.912 2.883 3.263
Nd -1.850 2.138 5.167
Nd 1.850 2.138 5.167
Nd -1.981 4.971 2.882
Nd 1.981 4.971 2.882
Nd 0.000 7.854 1.904
Cu 4.912 0.000 0.000
Cu 0.000 4.971 0.000
Tc 1.219 0.000 0.000
Tc 8.606 0.000 0.000
Tc 0.000 0.000 3.987
Tc 0.000 0.000 6.347
```

* energy relative to the elements: 33 meV per atom

***

[7]
An optimized crystal structure of La8In2Ru. Source: Alexandria via LeMat-Bulk, functional GGA-PBE.

Cell and atoms, written as extended XYZ:
```
11
Lattice="9.232 -2.851 0.000 9.232 2.851 0.000 -2.535 0.000 6.610" Properties=species:S:1:pos:R:3 pbc="T T T"
La -0.654 0.000 1.855
La 1.958 0.000 4.913
La 5.101 0.000 3.847
La 7.250 0.000 0.658
La 8.679 0.000 5.952
La 10.828 0.000 2.764
La 13.971 0.000 1.697
La 16.583 0.000 4.755
In 2.799 0.000 1.243
In 13.130 0.000 5.368
Ru 7.964 0.000 3.305
```

* energy relative to the elements: -278 meV per atom

***

[8]
An optimized crystal structure of YTcOs2. Source: Alexandria via LeMat-Bulk, functional GGA-PBE.

Cell and atoms, written as extended XYZ:
```
4
Lattice="2.905 0.000 0.000 0.000 4.358 0.000 -1.403 0.000 5.473" Properties=species:S:1:pos:R:3 pbc="T T T"
Y 0.000 0.000 0.000
Tc 0.751 0.000 2.736
Os -0.067 2.179 3.888
Os 1.568 2.179 1.585
```

* energy relative to the elements: 355 meV per atom
* polymorph energy (0 for the lowest one): 178 meV per atom

***

[9]
An optimized crystal structure of K2LaPt. Source: Alexandria via LeMat-Bulk, functional GGA-PBE.

Cell and atoms, written as extended XYZ:
```
4
Lattice="10.703 -1.946 0.000 10.703 1.946 0.000 -0.849 0.000 4.214" Properties=species:S:1:pos:R:3 pbc="T T T"
K 3.233 0.000 0.650
K 17.324 0.000 3.564
La -0.424 0.000 2.107
Pt 10.703 0.000 0.000
```

* energy relative to the elements: -353 meV per atom
* polymorph energy (0 for the lowest one): 28 meV per atom

***

[10]
An optimized crystal structure of MnCdTcH. Source: Alexandria via LeMat-Bulk, functional GGA-PBE.

Cell and atoms, written as extended XYZ:
```
4
Lattice="1.404 0.810 7.066 -1.404 0.810 7.066 0.000 -1.621 7.066" Properties=species:S:1:pos:R:3 pbc="T T T"
Mn 0.000 0.000 0.000
Cd 0.000 0.000 11.517
Tc 0.000 0.000 16.063
H 0.000 0.000 6.484
```

* polymorph energy (0 for the lowest one): 0 meV per atom

***

[11]
An optimized crystal structure of Al2Pd3Pt. Source: Alexandria via LeMat-Bulk, functional GGA-PBE.

Cell and atoms, written as extended XYZ:
```
12
Lattice="6.750 -2.711 0.000 6.750 2.711 0.000 -1.832 0.000 5.140" Properties=species:S:1:pos:R:3 pbc="T T T"
Al 3.336 1.380 4.586
Al 7.416 1.380 3.124
Al 4.252 -1.380 2.016
Al 8.332 -1.380 0.554
Pd 3.700 1.293 1.759
Pd 8.884 1.293 0.811
Pd 5.376 0.003 3.855
Pd 6.292 -0.003 1.285
Pd 2.784 -1.293 4.329
Pd 7.968 -1.293 3.381
Pt 5.376 2.708 3.855
Pt 6.292 -2.708 1.285
```

* energy relative to the elements: -718 meV per atom
* polymorph energy (0 for the lowest one): 18 meV per atom

***

[12]
An optimized crystal structure of La4MgZn2. Source: Alexandria via LeMat-Bulk, functional GGA-PBE.

Cell and atoms, written as extended XYZ:
```
7
Lattice="2.658 1.535 8.503 -2.658 1.535 8.503 0.000 -3.069 8.503" Properties=species:S:1:pos:R:3 pbc="T T T"
La 0.000 0.000 2.893
La 0.000 0.000 9.329
La 0.000 0.000 16.180
La 0.000 0.000 22.615
Mg 0.000 0.000 12.754
Zn 0.000 0.000 6.130
Zn 0.000 0.000 19.379
```

* energy relative to the elements: -134 meV per atom
* polymorph energy (0 for the lowest one): 0 meV per atom

***

[13]
An optimized crystal structure of Hf2TaZn2. Source: Alexandria via LeMat-Bulk, functional GGA-PBE.

Cell and atoms, written as extended XYZ:
```
10
Lattice="7.435 0.000 0.000 0.000 7.435 0.000 0.000 0.000 3.311" Properties=species:S:1:pos:R:3 pbc="T T T"
Hf 1.354 2.363 0.000
Hf 2.363 6.081 0.000
Hf 5.072 1.354 0.000
Hf 6.081 5.072 0.000
Ta 0.000 0.000 1.655
Ta 3.718 3.718 1.655
Zn 0.878 4.596 1.655
Zn 2.840 0.878 1.655
Zn 4.596 6.558 1.655
Zn 6.558 2.840 1.655
```

* energy relative to the elements: -20 meV per atom

***

[14]
An optimized crystal structure of PmAlGa2Ge. Source: Alexandria via LeMat-Bulk, functional GGA-PBE.

Cell and atoms, written as extended XYZ:
```
10
Lattice="1.896 -6.353 0.000 1.896 6.353 0.000 0.000 0.000 9.027" Properties=species:S:1:pos:R:3 pbc="T T T"
Pm 1.896 4.308 6.770
Pm 1.896 -4.308 2.257
Al 0.000 0.000 0.000
Al 0.000 0.000 4.513
Ga 1.896 3.991 0.852
Ga 1.896 3.991 3.661
Ga 1.896 -3.991 5.365
Ga 1.896 -3.991 8.175
Ge 1.896 0.560 6.770
Ge 1.896 -0.560 2.257
```

* energy relative to the elements: -187 meV per atom

***

[15]
An optimized crystal structure of Ca2In8Ni. Source: Alexandria via LeMat-Bulk, functional GGA-PBE.

Cell and atoms, written as extended XYZ:
```
11
Lattice="4.721 0.000 0.000 0.000 4.721 0.000 0.000 0.000 12.179" Properties=species:S:1:pos:R:3 pbc="T T T"
Ca 0.000 0.000 2.349
Ca 0.000 0.000 9.830
In 0.000 2.360 0.000
In 0.000 2.360 4.624
In 0.000 2.360 7.554
In 2.360 0.000 0.000
In 2.360 0.000 4.624
In 2.360 0.000 7.554
In 2.360 2.360 2.356
In 2.360 2.360 9.822
Ni 0.000 0.000 6.089
```

* energy relative to the elements: -273 meV per atom

***

[16]
An optimized crystal structure of Lu2TiHg. Source: Alexandria via LeMat-Bulk, functional GGA-PBE.

Cell and atoms, written as extended XYZ:
```
4
Lattice="4.926 0.000 0.000 0.000 4.926 0.000 0.000 0.000 3.902" Properties=species:S:1:pos:R:3 pbc="T T T"
Lu 0.000 2.463 0.000
Lu 2.463 0.000 0.000
Ti 0.000 0.000 1.951
Hg 2.463 2.463 1.951
```

* energy relative to the elements: -72 meV per atom
* polymorph energy (0 for the lowest one): 75 meV per atom

***

[17]
An optimized crystal structure of YTl2Si. Source: Alexandria via LeMat-Bulk, functional GGA-PBE.

Cell and atoms, written as extended XYZ:
```
4
Lattice="1.834 1.059 9.394 -1.834 1.059 9.394 0.000 -2.118 9.394" Properties=species:S:1:pos:R:3 pbc="T T T"
Y 0.000 0.000 0.000
Tl 0.000 0.000 6.803
Tl 0.000 0.000 13.494
Si 0.000 0.000 20.804
```

* raw formation energy: 0.075 eV per atom
* polymorph energy (0 for the lowest one): 198 meV per atom

***

[18]
An optimized crystal structure of LiAcCeBi. Source: Alexandria via LeMat-Bulk, functional GGA-PBE.

Cell and atoms, written as extended XYZ:
```
4
Lattice="0.000 3.996 3.996 3.996 0.000 3.996 3.996 3.996 0.000" Properties=species:S:1:pos:R:3 pbc="T T T"
Li 0.000 0.000 0.000
Ac 5.994 5.994 5.994
Ce 1.998 1.998 1.998
Bi 3.996 3.996 3.996
```

* energy relative to the elements: -241 meV per atom

***

[19]
An optimized crystal structure of K2TcBr. Source: Alexandria via LeMat-Bulk, functional GGA-PBE.

Cell and atoms, written as extended XYZ:
```
4
Lattice="0.000 4.088 4.088 4.088 0.000 4.088 4.088 4.088 0.000" Properties=species:S:1:pos:R:3 pbc="T T T"
K 0.000 0.000 0.000
K 2.044 2.044 2.044
Tc 6.132 6.132 6.132
Br 4.088 4.088 4.088
```

* raw formation energy: 0.723 eV per atom
* polymorph energy (0 for the lowest one): 399 meV per atom

***

[20]
An optimized crystal structure of TbNd4Ho. Source: Alexandria via LeMat-Bulk, functional GGA-PBE.

Cell and atoms, written as extended XYZ:
```
6
Lattice="5.868 -5.872 0.000 5.868 5.872 0.000 0.000 0.000 3.492" Properties=species:S:1:pos:R:3 pbc="T T T"
Tb 0.000 0.000 0.000
Nd 2.811 0.000 1.746
Nd 5.868 2.800 0.000
Nd 5.868 -2.800 0.000
Nd 8.925 0.000 1.746
Ho 5.868 0.000 1.746
```

* energy relative to the elements: 610 meV per atom
* polymorph energy (0 for the lowest one): 592 meV per atom

***

[21]
An optimized crystal structure of ScInI2Cl. Source: Alexandria via LeMat-Bulk, functional GGA-PBE.

Cell and atoms, written as extended XYZ:
```
5
Lattice="5.924 0.000 0.000 0.000 5.924 0.000 0.000 0.000 4.962" Properties=species:S:1:pos:R:3 pbc="T T T"
Sc 0.000 0.000 0.000
In 2.962 2.962 2.481
I 0.000 2.962 0.000
I 2.962 0.000 0.000
Cl 0.000 0.000 2.481
```

* raw formation energy: -0.950 eV per atom

***

[22]
An optimized crystal structure of CaMg3. Source: Alexandria via LeMat-Bulk, functional GGA-PBE.

Cell and atoms, written as extended XYZ:
```
4
Lattice="-1.884 2.718 5.300 1.884 -2.718 5.300 1.884 2.718 -5.300" Properties=species:S:1:pos:R:3 pbc="T T T"
Ca 0.000 0.000 0.000
Mg 1.884 0.000 2.828
Mg 0.000 0.000 5.300
Mg 0.000 2.718 2.473
```

* energy relative to the elements: -6 meV per atom

***

[23]
An optimized crystal structure of K2PuAuCl8. Source: Alexandria via LeMat-Bulk, functional GGA-PBE.

Cell and atoms, written as extended XYZ:
```
12
Lattice="6.486 0.000 0.000 1.012 6.439 0.000 0.046 -0.005 10.264" Properties=species:S:1:pos:R:3 pbc="T T T"
K 0.523 3.201 2.647
K 7.021 3.233 7.617
Pu 3.243 0.000 0.000
Au 3.266 -0.002 5.132
Cl 1.252 1.538 10.250
Cl 1.565 1.533 5.139
Cl 3.203 5.042 1.836
Cl 3.259 5.013 8.441
Cl 4.285 1.421 1.823
Cl 4.341 1.392 8.428
Cl 5.979 4.902 5.125
Cl 6.292 4.896 0.014
```

* raw formation energy: -1.404 eV per atom

***

[24]
An optimized crystal structure of Pm3Sm7Ho. Source: Alexandria via LeMat-Bulk, functional GGA-PBE.

Cell and atoms, written as extended XYZ:
```
11
Lattice="5.874 -5.098 0.000 5.874 5.098 0.000 -0.557 0.000 6.448" Properties=species:S:1:pos:R:3 pbc="T T T"
Pm 0.000 0.000 0.000
Pm 5.596 3.344 3.224
Pm 5.596 -3.344 3.224
Sm 2.877 1.749 1.539
Sm 2.421 0.000 4.603
Sm 2.877 -1.749 1.539
Sm 5.596 0.000 3.224
Sm 8.315 1.749 4.909
Sm 8.771 0.000 1.846
Sm 8.315 -1.749 4.909
Ho 5.874 0.000 0.000
```

* energy relative to the elements: 234 meV per atom
* polymorph energy (0 for the lowest one): 0 meV per atom

***

Number 1: VASP energy -5.202 eV per atom. Number 2: VASP energy -2.918 eV per atom. Number 3: VASP energy -2.733 eV per atom. Number 4: VASP energy -4.524 eV per atom. Number 5: VASP energy -1.992 eV per atom. Number 6: VASP energy -5.904 eV per atom. Number 7: VASP energy -5.203 eV per atom. Number 8: VASP energy -9.468 eV per atom. Number 9: VASP energy -3.643 eV per atom. Number 10: VASP energy -5.772 eV per atom. Number 11: VASP energy -5.568 eV per atom. Number 12: VASP energy -3.541 eV per atom. Number 13: VASP energy -6.881 eV per atom. Number 14: VASP energy -4.020 eV per atom. Number 15: VASP energy -3.154 eV per atom. Number 16: VASP energy -4.382 eV per atom. Number 17: VASP energy -4.080 eV per atom. Number 18: VASP energy -4.201 eV per atom. Number 19: VASP energy -2.835 eV per atom. Number 20: VASP energy -4.103 eV per atom. Number 21: VASP energy -3.754 eV per atom. Number 22: VASP energy -1.703 eV per atom. Number 23: VASP energy -4.286 eV per atom. Number 24: VASP energy -4.481 eV per atom.